[1]
Tb4Al2S | PBE-GGA | optimized geometry

Cell and atoms, written as CIF:
```
data_Tb4Al2S
_chemical_formula_sum 'Tb8 Al4 S2'
_symmetry_space_group_name_H-M 'C 1 2/m 1'
_symmetry_Int_Tables_number 12
_cell_length_a 12.310
_cell_length_b 4.031
_cell_length_c 8.781
_cell_angle_alpha 90.00
_cell_angle_beta 124.38
_cell_angle_gamma 90.00
loop_
_symmetry_equiv_pos_as_xyz
'x,y,z'
'-x,-y,-z'
'-x,y,-z'
'x,-y,z'
'x+1/2,y+1/2,z'
'-x+1/2,-y+1/2,-z'
'-x+1/2,y+1/2,-z'
'x+1/2,-y+1/2,z'
loop_
_atom_site_label
_atom_site_type_symbol
_atom_site_fract_x
_atom_site_fract_y
_atom_site_fract_z
Tb1 Tb 0.091 0.000 0.365
Tb2 Tb 0.171 0.500 0.076
Al1 Al 0.118 0.500 0.662
S1 S 0.000 0.000 0.000
```

Raw formation energy = -786 meV per atom



[2]
HgGe2PbSe6 | PBE-GGA | optimized geometry

Cell and atoms, written as CIF:
```
data_HgGe2PbSe6
_chemical_formula_sum 'Hg4 Ge8 Pb4 Se24'
_symmetry_space_group_name_H-M 'C 1 2/c 1'
_symmetry_Int_Tables_number 15
_cell_length_a 13.682
_cell_length_b 13.570
_cell_length_c 7.024
_cell_angle_alpha 90.00
_cell_angle_beta 109.07
_cell_angle_gamma 90.00
loop_
_symmetry_equiv_pos_as_xyz
'x,y,z'
'-x,-y,-z'
'-x,y,-z+1/2'
'x,-y,z+1/2'
'x+1/2,y+1/2,z'
'-x+1/2,-y+1/2,-z'
'-x+1/2,y+1/2,-z+1/2'
'x+1/2,-y+1/2,z+1/2'
loop_
_atom_site_label
_atom_site_type_symbol
_atom_site_fract_x
_atom_site_fract_y
_atom_site_fract_z
Hg1 Hg 0.000 0.205 0.250
Ge1 Ge 0.205 0.068 0.717
Pb1 Pb 0.000 0.394 0.750
Se1 Se 0.113 0.423 0.201
Se2 Se 0.132 0.065 0.989
Se3 Se 0.138 0.228 0.588
```

Raw formation energy = -262 meV per atom



[3]
CoPdW | PBE-GGA | optimized geometry

Cell and atoms, written as CIF:
```
data_CoPdW
_chemical_formula_sum 'Co4 Pd4 W4'
_symmetry_space_group_name_H-M 'C 1 2/m 1'
_symmetry_Int_Tables_number 12
_cell_length_a 10.105
_cell_length_b 2.719
_cell_length_c 6.388
_cell_angle_alpha 90.00
_cell_angle_beta 105.89
_cell_angle_gamma 90.00
loop_
_symmetry_equiv_pos_as_xyz
'x,y,z'
'-x,-y,-z'
'-x,y,-z'
'x,-y,z'
'x+1/2,y+1/2,z'
'-x+1/2,-y+1/2,-z'
'-x+1/2,y+1/2,-z'
'x+1/2,-y+1/2,z'
loop_
_atom_site_label
_atom_site_type_symbol
_atom_site_fract_x
_atom_site_fract_y
_atom_site_fract_z
Co1 Co 0.031 0.000 0.287
Pd1 Pd 0.180 0.500 0.626
W1 W 0.134 0.500 0.023
```

ΔE_f = 0.1033 eV/atom
Polymorph energy (0 for the lowest one) = 32 meV per atom



[4]
LiMg2Zr | PBE-GGA | optimized geometry

Cell and atoms, written as CIF:
```
data_LiMg2Zr
_chemical_formula_sum 'Li3 Mg6 Zr3'
_symmetry_space_group_name_H-M 'R 3 m'
_symmetry_Int_Tables_number 160
_symmetry_space_group_name_Hall 'R 3 -2"'
_cell_length_a 3.0610
_cell_length_b 3.0610
_cell_length_c 32.2780
_cell_angle_alpha 90.00
_cell_angle_beta 90.00
_cell_angle_gamma 120.00
loop_
_atom_site_label
_atom_site_type_symbol
_atom_site_fract_x
_atom_site_fract_y
_atom_site_fract_z
Li1 Li 0.0000 0.0000 0.0000
Mg1 Mg 0.0000 0.0000 0.2528
Mg2 Mg 0.0000 0.0000 0.4999
Zr1 Zr 0.0000 0.0000 0.7510
```

ΔE_f = 0.0602 eV/atom



[5]
Pm6Al2Rh | PBE-GGA | optimized geometry

Cell and atoms, written as CIF:
```
data_Pm6Al2Rh
_chemical_formula_sum 'Pm12 Al4 Rh2'
_symmetry_space_group_name_H-M 'I m m m'
_symmetry_Int_Tables_number 71
_symmetry_space_group_name_Hall '-I 2 2'
_cell_length_a 5.074
_cell_length_b 7.277
_cell_length_c 15.127
_cell_angle_alpha 90.00
_cell_angle_beta 90.00
_cell_angle_gamma 90.00
loop_
_atom_site_label
_atom_site_type_symbol
_atom_site_fract_x
_atom_site_fract_y
_atom_site_fract_z
Pm1 Pm 0.000 0.239 0.000
Pm2 Pm 0.000 0.257 0.341
Al1 Al 0.000 0.500 0.167
Rh1 Rh 0.000 0.500 0.500
```

ΔE_f = -0.1606 eV/atom



[6]
LaTb2PrTh | PBE-GGA | optimized geometry

Cell and atoms, written as CIF:
```
data_LaTb2PrTh
_chemical_formula_sum 'La2 Tb4 Pr2 Th2'
_symmetry_space_group_name_H-M 'P 1 2/c 1'
_symmetry_Int_Tables_number 13
_cell_length_a 8.722
_cell_length_b 6.558
_cell_length_c 6.445
_cell_angle_alpha 90.00
_cell_angle_beta 102.28
_cell_angle_gamma 90.00
loop_
_symmetry_equiv_pos_as_xyz
'x,y,z'
'-x,-y,-z'
'-x,y,-z+1/2'
'x,-y,z+1/2'
loop_
_atom_site_label
_atom_site_type_symbol
_atom_site_fract_x
_atom_site_fract_y
_atom_site_fract_z
La1 La 0.000 0.000 0.000
Tb1 Tb 0.314 0.332 0.182
Pr1 Pr 0.500 0.164 0.750
Th1 Th 0.000 0.453 0.750
```

ΔE_f = 0.2870 eV/atom



[7]
Y2RuBr | PBE-GGA | optimized geometry

Cell and atoms, written as CIF:
```
data_Y2RuBr
_chemical_formula_sum 'Y4 Ru2 Br2'
_symmetry_space_group_name_H-M 'C 1 2/m 1'
_symmetry_Int_Tables_number 12
_cell_length_a 7.349
_cell_length_b 7.439
_cell_length_c 3.378
_cell_angle_alpha 90.00
_cell_angle_beta 100.54
_cell_angle_gamma 90.00
loop_
_symmetry_equiv_pos_as_xyz
'x,y,z'
'-x,-y,-z'
'-x,y,-z'
'x,-y,z'
'x+1/2,y+1/2,z'
'-x+1/2,-y+1/2,-z'
'-x+1/2,y+1/2,-z'
'x+1/2,-y+1/2,z'
loop_
_atom_site_label
_atom_site_type_symbol
_atom_site_fract_x
_atom_site_fract_y
_atom_site_fract_z
Y1 Y 0.250 0.250 0.000
Ru1 Ru 0.000 0.000 0.500
Br1 Br 0.000 0.500 0.500
```

Raw formation energy = -422 meV per atom
Polymorph energy (0 for the lowest one) = 372 meV per atom



[8]
Pr12Tl5Ru2 | PBE-GGA | optimized geometry

Cell and atoms, written as CIF:
```
data_Pr12Tl5Ru2
_chemical_formula_sum 'Pr24 Tl10 Ru4'
_symmetry_space_group_name_H-M 'C 1 2/m 1'
_symmetry_Int_Tables_number 12
_cell_length_a 17.682
_cell_length_b 7.997
_cell_length_c 10.152
_cell_angle_alpha 90.00
_cell_angle_beta 106.93
_cell_angle_gamma 90.00
loop_
_symmetry_equiv_pos_as_xyz
'x,y,z'
'-x,-y,-z'
'-x,y,-z'
'x,-y,z'
'x+1/2,y+1/2,z'
'-x+1/2,-y+1/2,-z'
'-x+1/2,y+1/2,-z'
'x+1/2,-y+1/2,z'
loop_
_atom_site_label
_atom_site_type_symbol
_atom_site_fract_x
_atom_site_fract_y
_atom_site_fract_z
Pr1 Pr 0.000 0.000 0.228
Pr2 Pr 0.004 0.500 0.820
Pr3 Pr 0.152 0.255 0.576
Pr4 Pr 0.161 0.234 0.086
Tl1 Tl 0.000 0.500 0.500
Tl2 Tl 0.193 0.000 0.837
Tl3 Tl 0.195 0.000 0.365
Ru1 Ru 0.000 0.216 0.000
```

ΔE_f = -0.1034 eV/atom



[9]
Ce2Mg3Cd2 | PBE-GGA | optimized geometry

Cell and atoms, written as CIF:
```
data_Ce2Mg3Cd2
_chemical_formula_sum 'Ce4 Mg6 Cd4'
_symmetry_space_group_name_H-M 'C 1 2/m 1'
_symmetry_Int_Tables_number 12
_cell_length_a 11.053
_cell_length_b 5.163
_cell_length_c 6.196
_cell_angle_alpha 90.00
_cell_angle_beta 95.30
_cell_angle_gamma 90.00
loop_
_symmetry_equiv_pos_as_xyz
'x,y,z'
'-x,-y,-z'
'-x,y,-z'
'x,-y,z'
'x+1/2,y+1/2,z'
'-x+1/2,-y+1/2,-z'
'-x+1/2,y+1/2,-z'
'x+1/2,-y+1/2,z'
loop_
_atom_site_label
_atom_site_type_symbol
_atom_site_fract_x
_atom_site_fract_y
_atom_site_fract_z
Ce1 Ce 0.068 0.000 0.331
Mg1 Mg 0.000 0.500 0.000
Mg2 Mg 0.230 0.000 0.834
Cd1 Cd 0.135 0.500 0.620
```

ΔE_f = -0.0906 eV/atom



[10]
Tc2PbSe | PBE-GGA | optimized geometry

Cell and atoms, written as CIF:
```
data_Tc2PbSe
_chemical_formula_sum 'Tc4 Pb2 Se2'
_symmetry_space_group_name_H-M 'I m m m'
_symmetry_Int_Tables_number 71
_symmetry_space_group_name_Hall '-I 2 2'
_cell_length_a 3.101
_cell_length_b 5.328
_cell_length_c 8.822
_cell_angle_alpha 90.00
_cell_angle_beta 90.00
_cell_angle_gamma 90.00
loop_
_atom_site_label
_atom_site_type_symbol
_atom_site_fract_x
_atom_site_fract_y
_atom_site_fract_z
Tc1 Tc 0.000 0.000 0.219
Pb1 Pb 0.000 0.500 0.000
Se1 Se 0.000 0.500 0.500
```

Raw formation energy = 632 meV per atom
Polymorph energy (0 for the lowest one) = 479 meV per atom



[11]
RbS2I | PBE-GGA | optimized geometry

Cell and atoms, written as CIF:
```
data_RbS2I
_chemical_formula_sum 'Rb4 S8 I4'
_symmetry_space_group_name_H-M 'I -4 2 d'
_symmetry_Int_Tables_number 122
_symmetry_space_group_name_Hall 'I -4 2bw'
_cell_length_a 6.531
_cell_length_b 6.531
_cell_length_c 15.321
_cell_angle_alpha 90.00
_cell_angle_beta 90.00
_cell_angle_gamma 90.00
loop_
_atom_site_label
_atom_site_type_symbol
_atom_site_fract_x
_atom_site_fract_y
_atom_site_fract_z
Rb1 Rb 0.000 0.000 0.000
S1 S 0.131 0.250 0.625
I1 I 0.000 0.000 0.500
```

Raw formation energy = -45 meV per atom
Polymorph energy (0 for the lowest one) = 476 meV per atom



[12]
YRe2Pb | PBE-GGA | optimized geometry

Cell and atoms, written as CIF:
```
data_YRe2Pb
_chemical_formula_sum 'Y2 Re4 Pb2'
_symmetry_space_group_name_H-M 'C m m m'
_symmetry_Int_Tables_number 65
_symmetry_space_group_name_Hall '-C 2 2'
_cell_length_a 3.422
_cell_length_b 4.941
_cell_length_c 9.413
_cell_angle_alpha 90.00
_cell_angle_beta 90.00
_cell_angle_gamma 90.00
loop_
_atom_site_label
_atom_site_type_symbol
_atom_site_fract_x
_atom_site_fract_y
_atom_site_fract_z
Y1 Y 0.000 0.000 0.000
Re1 Re 0.000 0.500 0.250
Pb1 Pb 0.000 0.000 0.500
```

ΔE_f = 0.9018 eV/atom



One value per record, in order, for ρ: 6.665, 5.534, 13.738, 2.792, 6.106, 7.649, 6.563, 7.050, 5.452, 10.985, 2.810, 13.948 g/cm³.
One value per record, in order, for M_tot: 0.0, 0.0, 1.9, 0.0, 0.0, 0.0, 0.0, 0.0, 2.6, 0.0, 0.0, 0.0 μB/cell.